No. 1
Co2PW, optimized geometry, DFT PBE; calculated density = 11.226 g cm⁻³; formation enthalpy at 0 K = 89 meV/atom; volume = 49.2 Å³ per cell
1.0
4.4094 0.0043 0.0000
-1.6126 4.1040 0.0000
0.0000 0.0000 2.7184
W P Co
1 1 2
Cartesian
-0.8063 2.0520 1.3592
2.2047 0.0021 1.3592
0.0000 0.0000 0.0000
1.3984 2.0541 0.0000



No. 2
ZrCo2PW, optimized geometry, DFT PBE; calculated density = 7.133 g cm⁻³; formation enthalpy at 0 K = 2106 meV/atom; volume = 98.7 Å³ per cell
1.0
4.4484 0.0000 0.0000
0.0000 4.9871 0.0000
0.0000 0.0000 4.4484
Co Zr W P
2 1 1 1
Cartesian
2.2242 0.0000 0.0000
0.0000 0.0000 2.2242
0.0000 0.0000 0.0000
0.0000 2.4936 0.0000
2.2242 2.4936 2.2242



No. 3
YCoP2, optimized geometry, DFT PBE; polymorph energy (0 for the lowest one) = 0.6630 eV per atom; calculated density = 5.332 g cm⁻³; formation enthalpy at 0 K = -315 meV/atom; volume = 65.3 Å³ per cell
1.0
-4.2484 0.2354 0.1641
4.2781 -1.4055 5.2857
0.2255 2.1959 2.8493
P Co Y
2 1 1
Cartesian
2.2518 0.3952 4.0675
0.0000 0.0000 0.0000
-2.0114 1.2156 1.5067
0.0149 -0.5851 2.7249



No. 4
Y2CoP, optimized geometry, DFT PBE; calculated density = 5.975 g cm⁻³; formation enthalpy at 0 K = 86 meV/atom; volume = 74.4 Å³ per cell
1.0
4.7209 0.0000 0.0000
2.3604 4.0884 0.0000
2.3604 1.3628 3.8546
Y P Co
2 1 1
Cartesian
2.3604 1.3628 0.9636
0.0000 0.0000 0.0000
7.0813 4.0884 2.8909
4.7209 2.7256 1.9273



No. 5
YCo5P2, optimized geometry, DFT PBE; calculated density = 7.355 g cm⁻³; formation enthalpy at 0 K = -641 meV/atom; volume = 100.6 Å³ per cell
1.0
-1.0306 3.2416 -1.1008
-5.4542 -0.3425 -1.7078
-3.6167 2.1419 3.8876
P Co Y
2 5 1
Cartesian
-2.5734 1.2516 0.2894
-7.5281 3.7894 0.7897
-6.6069 1.8304 -0.0358
-3.4946 3.2106 1.1148
-4.1955 2.2629 -1.0197
-4.5354 0.8997 1.0899
-5.9060 2.7781 2.0988
0.0000 0.0000 0.0000



No. 6
YCoP2, optimized geometry, DFT PBE; polymorph energy (0 for the lowest one) = 0.4860 eV per atom; calculated density = 4.969 g cm⁻³; formation enthalpy at 0 K = -492 meV/atom; volume = 70.1 Å³ per cell
1.0
-2.4698 -2.1669 -1.2744
3.2245 -1.4205 0.0650
-1.0557 -2.1365 5.6790
P Y Co
2 1 1
Cartesian
-0.9915 -2.0065 5.3334
-0.5921 -1.1983 3.1852
0.1134 -2.3279 0.8151
-0.4145 -3.3961 3.6546



No. 7
YCo2P, optimized geometry, DFT PBE; calculated density = 5.799 g cm⁻³; formation enthalpy at 0 K = -230 meV/atom; volume = 68.1 Å³ per cell
1.0
5.1583 -0.1381 -0.1567
2.2320 4.6525 0.1567
-3.4644 -2.6350 2.7761
Y Co P
1 2 1
Cartesian
1.4773 2.2875 1.4664
0.2664 0.1628 0.0000
1.9497 -0.7130 1.3097
3.9278 2.3993 0.0000



No. 8
Y2CoP, optimized geometry, DFT PBE; calculated density = 5.519 g cm⁻³; formation enthalpy at 0 K = -876 meV/atom; volume = 80.5 Å³ per cell
1.0
-3.6634 3.7103 2.0244
-5.1053 1.9845 -1.1326
-1.6009 -2.8206 2.2732
Co Y P
1 2 1
Cartesian
-4.8755 0.7538 1.8148
-0.3196 -0.2750 0.2963
-7.4540 2.4284 2.0770
-2.9051 1.4041 0.5593



No. 9
Y2CoP, optimized geometry, DFT PBE; calculated density = 5.482 g cm⁻³; formation enthalpy at 0 K = -286 meV/atom; volume = 81.1 Å³ per cell
1.0
3.2116 0.0243 0.0000
-0.0242 3.2116 0.0000
0.0000 0.0000 7.8616
Y Co P
2 1 1
Cartesian
0.0000 0.0000 7.3208
1.5937 1.6179 2.4876
0.0000 0.0000 4.5039
1.5937 1.6179 5.3417



No. 10
YCoP2, optimized geometry, DFT PBE; polymorph energy (0 for the lowest one) = 0.3910 eV per atom; calculated density = 5.282 g cm⁻³; formation enthalpy at 0 K = -587 meV/atom; volume = 66.0 Å³ per cell
1.0
6.1050 0.0030 0.0009
4.1743 4.4549 -0.0009
-5.1244 -2.2641 2.4260
Y Co P
1 1 2
Cartesian
5.5622 2.4122 0.0000
3.5296 0.1875 1.2135
1.9879 2.1635 1.2125
9.4942 4.1174 0.0000



No. 11
Y2Co2P, optimized geometry, DFT PBE; polymorph energy (0 for the lowest one) = 0.0000 eV per atom; calculated density = 6.145 g cm⁻³; formation enthalpy at 0 K = -395 meV/atom; volume = 176.5 Å³ per cell
1.0
-3.6913 5.1227 -2.0524
-5.1850 -4.0648 -0.8201
-1.1397 0.6918 3.7766
Co Y P
4 4 2
Cartesian
-5.9562 -1.6315 -1.4986
-6.4646 1.9782 -2.3133
-2.4117 -0.9203 -0.5592
-2.9201 2.6894 -1.3739
-2.6906 1.2153 1.0890
-7.3254 0.5344 -0.1850
-4.7970 -1.4917 0.9492
-5.2190 3.2414 -0.0452
-4.4382 0.5290 -1.4363
0.0000 0.0000 0.0000



No. 12
YCo2P, optimized geometry, DFT PBE; calculated density = 6.823 g cm⁻³; formation enthalpy at 0 K = -157 meV/atom; volume = 57.9 Å³ per cell
1.0
-3.5671 1.1587 1.3440
0.1565 -2.8004 2.8296
1.6172 2.3661 2.2522
Co Y P
2 1 1
Cartesian
0.0000 0.0000 0.0000
-1.7053 -0.8208 2.0868
0.8869 -0.2171 2.5409
-0.9750 1.7624 1.7981